Computed, not measured: LiTb5Hg3 after structural relaxation at the GGA-PBE level of DFT.

Unit cell a=6.732 b=9.089 c=9.088 alpha=120.00 beta=90.00 gamma=90.00
Fractional positions:
Tb  0.000  0.333  0.667
Tb  0.250  0.000  0.693
Tb  0.000  0.667  0.333
Tb  0.500  0.333  0.667
Tb  0.750  0.693  0.693
Tb  0.250  0.307  0.307
Tb  0.250  0.693  0.000
Tb  0.500  0.667  0.333
Tb  0.750  0.307  0.000
Tb  0.750  0.000  0.307
Hg  0.750  0.645  0.000
Hg  0.250  0.645  0.645
Hg  0.250  0.355  0.000
Hg  0.250  0.000  0.355
Hg  0.750  0.000  0.645
Hg  0.750  0.355  0.355
Li  0.500  0.000  0.000
Li  0.000  0.000  0.000

Values from the calculation:
V ... 26.75 Å³/atom
Space group ... P6_3/mcm
Magnetization ... 0.00 μB per formula unit
Density ... 9.7 g/cm³
Raw total energy ... -3.171 eV/atom
ΔE_f ... -0.285 eV per atom